Computed, not measured: an optimized crystal structure of Ru2PtI at the GGA-PBE level of DFT. Values from VASP.

Cell and atoms, written as Quantum ESPRESSO input:
```
&SYSTEM
  ibrav = 0, nat = 4, ntyp = 3
/
ATOMIC_SPECIES
Ru 101.07 Ru.upf
Pt 195.08 Pt.upf
I 126.90 I.upf
CELL_PARAMETERS angstrom
0.000 3.224 3.224
3.224 0.000 3.224
3.224 3.224 0.000
ATOMIC_POSITIONS crystal
Ru 0.250 0.250 0.250
Ru 0.750 0.750 0.750
Pt 0.000 0.000 0.000
I 0.500 0.500 0.500
```

Values from the calculation:
distance to the lowest polymorph of the same formula = 0.0 meV per atom
raw formation energy = 792 meV/atom
DOS(E_F) = 4.1 states/eV/cell
calculated density = 12.986 g/cm3